# 1
Density functional theory data (GGA+U) for Li3Ac2CoO6 after structural relaxation.

Geometry as CIF:
```
data_Li3Ac2CoO6
_cell_length_a 5.740
_cell_length_b 11.328
_cell_length_c 5.202
_cell_angle_alpha 90.00
_cell_angle_beta 107.12
_cell_angle_gamma 90.00
_symmetry_space_group_name_H-M 'C 1 2/m 1'
_symmetry_Int_Tables_number 12
_symmetry_space_group_name_Hall '-C 2y'
loop_
_atom_site_label
_atom_site_type_symbol
_atom_site_fract_x
_atom_site_fract_y
_atom_site_fract_z
Li1 Li 0.000 0.000 0.000
Li2 Li 0.000 0.401 0.000
Ac1 Ac 0.000 0.167 0.500
Co1 Co 0.000 0.500 0.500
O1 O 0.194 0.366 0.740
O2 O 0.247 0.000 0.736
```

Results
Its density is 6.47 g cm⁻³. The energy comes out at -6.181 eV per atom. The value obtained for the size of the total moment is 0.3328 μB/atom.



# 2
Density functional theory data (GGA+U) for Li2Ac3CoO8 after structural relaxation.

Geometry as CIF:
```
data_Li2Ac3CoO8
_cell_length_a 5.5038
_cell_length_b 5.5038
_cell_length_c 7.0490
_cell_angle_alpha 90.00
_cell_angle_beta 90.00
_cell_angle_gamma 120.00
_symmetry_space_group_name_H-M 'P -3 m 1'
_symmetry_Int_Tables_number 164
_symmetry_space_group_name_Hall '-P 3 2"'
loop_
_atom_site_label
_atom_site_type_symbol
_atom_site_fract_x
_atom_site_fract_y
_atom_site_fract_z
Li1 Li 0.3333 0.6667 0.2085
Ac1 Ac 0.0000 0.0000 0.0000
Ac2 Ac 0.3333 0.6667 0.6377
Co1 Co 0.0000 0.0000 0.5000
O1 O 0.1571 0.3142 0.3360
O2 O 0.3333 0.6667 0.9551
```

Results
Its density is 7.92 g cm⁻³. The energy comes out at -6.637 eV per atom. The value obtained for the size of the total moment is 0.1485 μB/atom.



# 3
Density functional theory data (GGA+U) for LiAcCoO3 after structural relaxation.

Geometry as CIF:
```
data_LiAcCoO3
_cell_length_a 5.272
_cell_length_b 10.355
_cell_length_c 5.438
_cell_angle_alpha 90.00
_cell_angle_beta 90.00
_cell_angle_gamma 90.00
_symmetry_space_group_name_H-M 'C m c m'
_symmetry_Int_Tables_number 63
_symmetry_space_group_name_Hall '-C 2c 2'
loop_
_atom_site_label
_atom_site_type_symbol
_atom_site_fract_x
_atom_site_fract_y
_atom_site_fract_z
Li1 Li 0.000 0.079 0.250
Ac1 Ac 0.000 0.189 0.750
Co1 Co 0.000 0.483 0.250
O1 O 0.000 0.259 0.250
O2 O 0.241 0.000 0.000
```

Results
Its density is 7.63 g cm⁻³. The energy comes out at -6.296 eV per atom. The value obtained for the size of the total moment is 0.1667 μB/atom.